{"formula": "ReW3F", "functional": "PBE with a Hubbard U", "state": "optimized geometry", "cell": [[-3.699, -1.806, 1.037], [0.718, -3.089, -2.821], [1.955, -2.283, 2.997]], "species": ["Re", "W", "W", "W", "F"], "frac_coords": [[0.500, 0.500, 0.500], [0.000, 0.500, 0.000], [0.000, 0.000, 0.500], [0.500, 0.000, 0.000], [0.000, 0.000, 0.000]], "density_g_cm3": 16.43, "e_above_lowest_polymorph_mev_per_atom": 0, "volume_a3_per_atom": 15.296}